[1]
Compound: Pr2Sb4Pd3Pt
Source: the Alexandria database
Functional: PBE-GGA
Structure: optimized geometry

Cell lengths 4.654, 4.654, 10.637 Å; angles 90.00, 90.00, 90.00 degrees
Space group P-4m2 (No. 115)
Inequivalent atoms, fractional coordinates:
Pr 0.000 0.500 0.238 x2
Sb 0.000 0.000 0.500 x1
Sb 0.000 0.500 0.872 x2
Sb 0.500 0.500 0.500 x1
Pd 0.000 0.000 0.000 x1
Pd 0.000 0.500 0.629 x2
Pt 0.500 0.500 0.000 x1

## Properties
Volume in Å³ per atom: 23.0
E_form (uncorrected) in eV/atom: -0.820
Electronic total energy in eV for the cell shown: -55.87

=====

[2]
Compound: Rb2VSi
Source: the Alexandria database
Functional: PBE-GGA
Structure: optimized geometry

Cell lengths 8.333, 8.333, 8.333 Å; angles 90.00, 90.00, 90.00 degrees
Space group Fm-3m (No. 225)
Inequivalent atoms, fractional coordinates:
Rb 0.250 0.250 0.250 x8
V 0.000 0.000 0.000 x4
Si 0.000 0.000 0.500 x4

## Properties
Volume in Å³ per atom: 36.2
E_form (uncorrected) in eV/atom: 1.235
Electronic total energy in eV for the cell shown: -46.15
Energy above the most stable polymorph in this dataset in kcal/mol of atoms: 12.08

=====

[3]
Compound: VCrH3
Source: the Alexandria database
Functional: PBE-GGA
Structure: optimized geometry

Cell lengths 4.2378, 4.2378, 12.5837 Å; angles 90.00, 90.00, 120.00 degrees
Space group R-3m (No. 166, hexagonal axes)
Inequivalent atoms, fractional coordinates:
V 0.0000 0.0000 0.1026 x6
Cr 0.0000 0.0000 0.3120 x6
H 0.0337 0.5169 0.1017 x18

## Properties
Volume in Å³ per atom: 6.5
Electronic total energy in eV for the cell shown: -174.49
Energy above the most stable polymorph in this dataset in kcal/mol of atoms: 0.00